1.
Here is an optimized crystal structure of BePt2O4 from OQMD via LeMat-Bulk. Energies are from PBE-GGA.

Cell and atoms, written as POSCAR:
```
BePt2O4
1.0
0.000 4.192 4.192
4.192 0.000 4.192
4.192 4.192 0.000
Be Pt O
2 4 8
Direct
0.125 0.125 0.125 Be
0.875 0.875 0.875 Be
0.000 0.500 0.500 Pt
0.500 0.000 0.500 Pt
0.500 0.500 0.000 Pt
0.500 0.500 0.500 Pt
0.227 0.758 0.758 O
0.242 0.242 0.242 O
0.242 0.242 0.773 O
0.242 0.773 0.242 O
0.758 0.227 0.758 O
0.758 0.758 0.227 O
0.758 0.758 0.758 O
0.773 0.242 0.242 O
```

**Spin magnetization**: 0.22 μB/atom
**SG**: No. 227
**Energy**: -5.6599 eV/atom
**Calculated volume**: 74 Å³/f.u.


2.
Here is an optimized crystal structure of Be2Pt2O5 from OQMD via LeMat-Bulk. Energies are from PBE-GGA.

Cell and atoms, written as POSCAR:
```
Be2Pt2O5
1.0
3.861 0.000 0.000
0.000 3.861 0.000
0.000 0.000 6.584
Be Pt O
2 2 5
Direct
0.000 0.000 0.000 Be
0.000 0.000 0.500 Be
0.500 0.500 0.188 Pt
0.500 0.500 0.812 Pt
0.000 0.500 0.245 O
0.000 0.500 0.755 O
0.500 0.000 0.245 O
0.500 0.000 0.755 O
0.500 0.500 0.500 O
```

**Energy above the most stable polymorph in this dataset**: 913 meV per atom
**Spin magnetization**: 0.00 μB/atom
**SG**: No. 123
**Energy**: -4.8231 eV/atom
**Calculated volume**: 98 Å³/f.u.


3.
Here is an optimized crystal structure of Be2Pt2O5 from OQMD via LeMat-Bulk. Energies are from PBE-GGA.

Cell and atoms, written as POSCAR:
```
Be2Pt2O5
1.0
3.410 0.000 0.000
0.000 3.410 0.000
0.000 0.000 6.961
Be Pt O
2 2 5
Direct
0.000 0.000 0.236 Be
0.000 0.000 0.764 Be
0.500 0.500 0.000 Pt
0.500 0.500 0.500 Pt
0.000 0.000 0.000 O
0.000 0.500 0.318 O
0.000 0.500 0.682 O
0.500 0.000 0.318 O
0.500 0.000 0.682 O
```

**Energy above the most stable polymorph in this dataset**: 0 meV per atom
**Spin magnetization**: 0.00 μB/atom
**SG**: No. 123
**Energy**: -5.7361 eV/atom
**Calculated volume**: 81 Å³/f.u.